A plane-wave DFT calculation with PBE+U was carried out for TiCoRh2O6 after structural relaxation.

Cell and atoms, written as CIF:
```
data_TiCoRh2O6
_chemical_formula_sum 'Ti1 Co1 Rh2 O6'
_symmetry_space_group_name_H-M 'P 1'
_symmetry_Int_Tables_number 1
_cell_length_a 5.1313
_cell_length_b 5.1312
_cell_length_c 5.5703
_cell_angle_alpha 62.57
_cell_angle_beta 62.57
_cell_angle_gamma 60.00
loop_
_symmetry_equiv_pos_as_xyz
'x,y,z'
loop_
_atom_site_label
_atom_site_type_symbol
_atom_site_fract_x
_atom_site_fract_y
_atom_site_fract_z
O1 O 0.2375 0.9292 0.2371
O2 O 0.7130 0.1125 0.7534
O3 O 0.5962 0.2375 0.2371
O4 O 0.1125 0.4211 0.7534
O5 O 0.4211 0.7130 0.7534
O6 O 0.9292 0.5962 0.2371
Co1 Co 0.8127 0.8127 0.5620
Rh1 Rh 0.0131 0.0131 0.9606
Rh2 Rh 0.5117 0.5118 0.4648
Ti1 Ti 0.3146 0.3146 0.0563
```

Summary:
For the raw total energy, the calculation gives -7.1890 eV/atom.